No. 1
VASP calculation (PBE) on an optimized crystal structure of ZnGeP2.

Output
Its electronic total energy is -4.387 eV per atom. For the calculated density, the calculation gives 4.07 Mg/m³.

The structure in CIF format:
```
data_ZnGeP2
_cell_length_a 5.4980
_cell_length_b 5.4980
_cell_length_c 10.7989
_cell_angle_alpha 90.00
_cell_angle_beta 90.00
_cell_angle_gamma 90.00
_symmetry_space_group_name_H-M 'I -4 2 d'
_symmetry_Int_Tables_number 122
_symmetry_space_group_name_Hall 'I -4 2bw'
loop_
_atom_site_label
_atom_site_fract_x
_atom_site_fract_y
_atom_site_fract_z
_atom_site_occupancy
Zn1 0.0000 0.0000 0.0000 1
Ge1 0.0000 0.0000 0.5000 1
P1 0.2457 0.2500 0.6250 1
```

---

No. 2
VASP calculation (PBE) on an optimized crystal structure of Zr3GeP.

Output
Its electronic total energy is -8.090 eV per atom. For the calculated density, the calculation gives 6.21 Mg/m³.

The structure in CIF format:
```
data_Zr3GeP
_cell_length_a 3.7457
_cell_length_b 11.4612
_cell_length_c 9.4020
_cell_angle_alpha 90.00
_cell_angle_beta 90.00
_cell_angle_gamma 90.00
_symmetry_space_group_name_H-M 'C m c m'
_symmetry_Int_Tables_number 63
_symmetry_space_group_name_Hall '-C 2c 2'
loop_
_atom_site_label
_atom_site_fract_x
_atom_site_fract_y
_atom_site_fract_z
_atom_site_occupancy
Zr1 0.0000 0.0694 0.2500 1
Zr2 0.0000 0.3568 0.0632 1
Ge1 0.0000 0.2540 0.7500 1
P1 0.0000 0.0000 0.0000 1
```

---

No. 3
VASP calculation (PBE) on an optimized crystal structure of Pa3Ge.

Output
Its electronic total energy is -8.572 eV per atom. For the calculated density, the calculation gives 14.10 Mg/m³.

The structure in CIF format:
```
data_Pa3Ge
_cell_length_a 4.4801
_cell_length_b 4.4801
_cell_length_c 4.4933
_cell_angle_alpha 90.00
_cell_angle_beta 90.00
_cell_angle_gamma 90.00
_symmetry_space_group_name_H-M 'P 4/m m m'
_symmetry_Int_Tables_number 123
_symmetry_space_group_name_Hall '-P 4 2'
loop_
_atom_site_label
_atom_site_fract_x
_atom_site_fract_y
_atom_site_fract_z
_atom_site_occupancy
Pa1 0.0000 0.0000 0.0000 1
Pa2 0.0000 0.5000 0.5000 1
Ge1 0.5000 0.5000 0.0000 1
```

---

No. 4
VASP calculation (PBE) on an optimized crystal structure of Pa7Ge.

Output
Its electronic total energy is -9.077 eV per atom. For the calculated density, the calculation gives 14.86 Mg/m³.

The structure in CIF format:
```
data_Pa7Ge
_cell_length_a 9.1070
_cell_length_b 9.1070
_cell_length_c 9.1070
_cell_angle_alpha 90.00
_cell_angle_beta 90.00
_cell_angle_gamma 90.00
_symmetry_space_group_name_H-M 'F m -3 m'
_symmetry_Int_Tables_number 225
_symmetry_space_group_name_Hall '-F 4 2 3'
loop_
_atom_site_label
_atom_site_fract_x
_atom_site_fract_y
_atom_site_fract_z
_atom_site_occupancy
Pa1 0.0000 0.0000 0.0000 1
Pa2 0.0000 0.2500 0.2500 1
Ge1 0.0000 0.0000 0.5000 1
```